The following is a DFT calculation (PBE-GGA) of Ti2NiP2 after structural relaxation.

Computed properties:
Calculated formation energy   -0.895 eV per atom
Uncorrected energy   -7.373 eV/atom

POSCAR file:
```
Ti2NiP2
1.0
6.225 0.000 0.000
0.000 6.225 0.000
0.000 0.000 3.460
Ti P Ni
4 4 2
Direct
0.161 0.661 0.500
0.839 0.339 0.500
0.661 0.839 0.500
0.339 0.161 0.500
0.857 0.643 0.000
0.643 0.143 0.000
0.143 0.357 0.000
0.357 0.857 0.000
0.500 0.500 0.000
0.000 0.000 0.000
```

The following is a DFT calculation (PBE-GGA) of PmNd4Co2 after structural relaxation.

Computed properties:
Calculated formation energy   -0.004 eV per atom
Uncorrected energy   -5.438 eV/atom
Offset from the most stable computed form   0.00 kJ/mol of atoms

POSCAR file:
```
PmNd4Co2
1.0
-6.222 -1.643 2.041
-3.107 1.485 -8.274
2.088 -6.657 1.004
Co Nd Pm
4 8 2
Direct
0.750 0.664 0.037
0.250 0.336 0.963
0.250 0.664 0.626
0.750 0.336 0.374
0.500 0.434 0.717
0.000 0.434 0.717
0.000 0.566 0.283
0.250 0.208 0.232
0.500 0.566 0.283
0.750 0.792 0.768
0.250 0.000 0.668
0.750 0.000 0.332
0.250 0.791 0.022
0.750 0.209 0.978
```

The following is a DFT calculation (PBE-GGA) of Sr2Sb4Pd3Pt after structural relaxation.

Computed properties:
Uncorrected energy   -4.922 eV/atom
E_form (uncorrected)   -0.774 eV/atom

POSCAR file:
```
Sr2Sb4Pd3Pt
1.0
-1.784 -0.014 -4.372
1.573 -4.408 -0.628
-9.269 -3.848 3.795
Pd Pt Sb Sr
3 1 4 2
Direct
0.000 0.500 0.128
0.500 0.000 0.872
0.000 0.000 0.500
0.500 0.500 0.500
0.500 0.500 0.000
0.500 0.000 0.625
0.000 0.500 0.375
0.000 0.000 0.000
0.000 0.500 0.740
0.500 0.000 0.260
```

The following is a DFT calculation (PBE-GGA) of Tb5Pm4Sm after structural relaxation.

Computed properties:
Calculated formation energy   0.184 eV per atom
Uncorrected energy   -4.503 eV/atom
Offset from the most stable computed form   0.00 kJ/mol of atoms

POSCAR file:
```
Tb5Pm4Sm
1.0
-0.306 -2.339 -2.665
10.260 -3.869 2.225
-3.235 -4.623 6.812
Pm Tb Sm
4 5 1
Direct
0.653 0.250 0.309
0.969 0.251 0.940
0.347 0.750 0.691
0.031 0.749 0.060
0.173 0.552 0.347
0.827 0.054 0.652
0.173 0.946 0.348
0.827 0.448 0.653
0.500 0.500 0.000
0.500 0.000 0.000
```

The following is a DFT calculation (PBE-GGA) of Cs3Hg after structural relaxation.

Computed properties:
Calculated formation energy   -0.108 eV per atom
Uncorrected energy   -0.823 eV/atom

POSCAR file:
```
Cs3Hg
1.0
-0.695 1.757 -4.888
-8.297 2.091 1.932
6.560 4.428 3.468
Cs Hg
3 1
Direct
0.500 0.378 0.000
0.316 0.686 0.632
0.684 0.054 0.368
0.000 0.049 0.000
```

The following is a DFT calculation (PBE-GGA) of Ca3TmGa4 after structural relaxation.

Computed properties:
Calculated formation energy   -0.470 eV per atom
Uncorrected energy   -3.292 eV/atom

POSCAR file:
```
Ca3TmGa4
1.0
3.611 0.000 0.000
0.000 3.611 0.000
0.000 0.000 14.703
Ga Ca Tm
4 3 1
Direct
0.000 0.000 0.116
0.000 0.000 0.373
0.000 0.000 0.627
0.000 0.000 0.884
0.500 0.500 0.500
0.500 0.500 0.754
0.500 0.500 0.246
0.500 0.500 0.000
```

The following is a DFT calculation (PBE-GGA) of Er5PS4 after structural relaxation.

Computed properties:
Uncorrected energy   -6.399 eV/atom
E_form (uncorrected)   -1.925 eV/atom

POSCAR file:
```
Er5PS4
1.0
4.948 0.000 2.387
2.474 6.146 1.193
-0.196 0.000 6.729
S Er P
4 5 1
Direct
0.200 0.203 0.400
0.802 0.797 0.600
0.600 0.600 0.203
0.402 0.400 0.797
0.902 0.394 0.804
0.100 0.606 0.196
0.296 0.804 0.606
0.706 0.196 0.394
0.501 0.000 0.000
0.001 0.000 0.000
```

The following is a DFT calculation (PBE-GGA) of Tb3SmSc2Se6 after structural relaxation.

Computed properties:
Uncorrected energy   -6.057 eV/atom
E_form (uncorrected)   -1.708 eV/atom

POSCAR file:
```
Tb3SmSc2Se6
1.0
7.001 -0.012 0.000
-3.509 6.058 0.000
-1.165 -2.018 6.598
Se Tb Sm Sc
6 3 1 2
Direct
0.269 0.269 0.764
0.570 0.920 0.757
0.920 0.570 0.757
0.731 0.731 0.236
0.430 0.080 0.243
0.080 0.430 0.243
0.500 0.500 0.500
0.842 0.158 0.500
0.158 0.842 0.500
0.000 0.000 0.000
0.336 0.664 0.000
0.664 0.336 0.000
```

The following is a DFT calculation (PBE-GGA) of Th6Te3IrRu2 after structural relaxation.

Computed properties:
Uncorrected energy   -7.758 eV/atom
E_form (uncorrected)   -0.978 eV/atom

POSCAR file:
```
Th6Te3IrRu2
1.0
-0.581 -2.618 -3.201
6.682 -5.304 3.124
-8.268 -1.509 5.460
Th Ru Te Ir
6 2 3 1
Direct
0.678 0.555 0.356
0.322 0.445 0.644
0.342 0.885 0.685
0.012 0.225 0.025
0.658 0.115 0.315
0.988 0.775 0.975
0.833 0.667 0.666
0.167 0.333 0.334
0.166 0.834 0.332
0.834 0.166 0.668
0.500 0.500 0.000
0.500 0.000 0.000
```

The following is a DFT calculation (PBE-GGA) of Tb8Tm5In after structural relaxation.

Computed properties:
Calculated formation energy   0.187 eV per atom
Uncorrected energy   -4.251 eV/atom

POSCAR file:
```
Tb8Tm5In
1.0
-4.847 -3.453 -5.883
4.075 6.605 -3.128
5.453 -5.792 2.596
Tb Tm In
8 5 1
Direct
0.162 0.727 0.069
0.741 0.262 0.347
0.931 0.093 0.658
0.653 0.394 0.915
0.521 0.606 0.259
0.565 0.907 0.838
0.342 0.273 0.435
0.085 0.738 0.479
0.815 0.692 0.713
0.877 0.897 0.185
0.500 0.000 0.500
0.287 0.103 0.980
0.020 0.308 0.123
0.250 0.500 0.750
```

The following is a DFT calculation (PBE-GGA) of PrSm2H after structural relaxation.

Computed properties:
Uncorrected energy   -4.550 eV/atom
Offset from the most stable computed form   0.00 kJ/mol of atoms

POSCAR file:
```
PrSm2H
1.0
3.682 0.000 0.000
1.841 3.189 0.000
1.841 1.063 8.863
Pr Sm H
1 2 1
Direct
0.501 0.501 0.498
0.053 0.053 0.841
0.280 0.280 0.160
0.666 0.666 0.001
```

The following is a DFT calculation (PBE-GGA) of InSnBiPb2 after structural relaxation.

Computed properties:
Calculated formation energy   0.039 eV per atom
Uncorrected energy   -3.568 eV/atom

POSCAR file:
```
InSnBiPb2
1.0
5.219 0.000 0.000
0.000 7.605 0.217
0.000 -0.181 7.623
Pb Bi In Sn
4 2 2 2
Direct
0.250 0.157 0.528
0.750 0.054 0.866
0.250 0.946 0.134
0.750 0.843 0.472
0.250 0.366 0.924
0.750 0.634 0.076
0.750 0.450 0.652
0.250 0.550 0.348
0.750 0.250 0.265
0.250 0.750 0.735
```